BeCuTe2N: relaxed, PBE.

```
BeCuTe2N
1.0
5.398 0.000 0.000
0.000 5.398 0.000
0.000 0.000 3.063
Be Cu Te N
1 1 2 1
direct
0.000 0.000 0.000
0.500 0.500 0.500
0.000 0.500 0.000
0.500 0.000 0.000
0.000 0.000 0.500
```

Values from the calculation:
* magnetic moment: 0.00 μB/f.u.
* Fermi-level density of states: 0.6560 states/eV/atom
* space-group type: P4/mmm, No. 123
* formation energy (no corrections): 42.2 kJ/mol of atoms
* VASP energy: -4.049 eV per atom
* V: 89.3 Å³/f.u.
* relative energy among the computed polymorphs: 0 meV per atom

---

BeCuTeN2: relaxed, PBE.

```
BeCuTeN2
1.0
3.678 0.000 0.000
0.000 3.678 0.000
0.000 0.000 6.567
Be Cu Te N
1 1 1 2
direct
0.000 0.000 0.000
0.500 0.500 0.500
0.500 0.500 0.000
0.000 0.500 0.500
0.500 0.000 0.500
```

Values from the calculation:
* magnetic moment: 3.30 μB/f.u.
* Fermi-level density of states: 0.4038 states/eV/atom
* space-group type: P4/mmm, No. 123
* formation energy (no corrections): 149.3 kJ/mol of atoms
* VASP energy: -3.976 eV per atom
* V: 88.8 Å³/f.u.
* relative energy among the computed polymorphs: 316 meV per atom

---

BeCuTeN2: relaxed, PBE.

```
BeCuTeN2
1.0
3.524 0.000 0.000
0.000 3.524 0.000
0.000 0.000 5.742
Be Cu Te N
1 1 1 2
direct
0.000 0.000 0.000
0.500 0.500 0.500
0.000 0.000 0.500
0.000 0.500 0.000
0.500 0.000 0.000
```

Values from the calculation:
* magnetic moment: 0.00 μB/f.u.
* Fermi-level density of states: 0.7413 states/eV/atom
* space-group type: P4/mmm, No. 123
* formation energy (no corrections): 118.8 kJ/mol of atoms
* VASP energy: -4.292 eV per atom
* V: 71.3 Å³/f.u.
* relative energy among the computed polymorphs: 0 meV per atom

---

BeCuTe2N: relaxed, PBE.

```
BeCuTe2N
1.0
5.311 0.000 0.000
0.000 5.311 0.000
0.000 0.000 3.489
Be Cu Te N
1 1 2 1
direct
0.000 0.000 0.000
0.500 0.500 0.500
0.000 0.500 0.500
0.500 0.000 0.500
0.500 0.500 0.000
```

Values from the calculation:
* magnetic moment: 0.00 μB/f.u.
* Fermi-level density of states: 0.6550 states/eV/atom
* space-group type: P4/mmm, No. 123
* formation energy (no corrections): 100.8 kJ/mol of atoms
* VASP energy: -3.441 eV per atom
* V: 98.4 Å³/f.u.
* relative energy among the computed polymorphs: 608 meV per atom

---

BeCuW2N: relaxed, PBE.

```
BeCuW2N
1.0
4.288 0.000 0.000
0.000 4.288 0.000
0.000 0.000 3.576
Be Cu W N
1 1 2 1
direct
0.000 0.000 0.000
0.000 0.000 0.500
0.000 0.500 0.000
0.500 0.000 0.000
0.500 0.500 0.500
```

Values from the calculation:
* magnetic moment: 0.00 μB/f.u.
* Fermi-level density of states: 0.9336 states/eV/atom
* space-group type: P4/mmm, No. 123
* formation energy (no corrections): 175.9 kJ/mol of atoms
* VASP energy: -6.588 eV per atom
* V: 65.7 Å³/f.u.

---

Y2BeCuN: relaxed, PBE.

```
Y2BeCuN
1.0
4.916 0.000 0.000
0.000 4.916 0.000
0.000 0.000 3.372
Y Be Cu N
2 1 1 1
direct
0.000 0.500 0.000
0.500 0.000 0.000
0.000 0.000 0.500
0.500 0.500 0.500
0.000 0.000 0.000
```

Values from the calculation:
* magnetic moment: 0.00 μB/f.u.
* Fermi-level density of states: 0.4605 states/eV/atom
* space-group type: P4/mmm, No. 123
* formation energy (no corrections): -60.3 kJ/mol of atoms
* VASP energy: -6.440 eV per atom
* V: 81.5 Å³/f.u.